Entry 1:
{"formula": "MgZnAs4", "functional": "PBE", "state": "optimized geometry", "dos_at_fermi_per_ev_fu": 2.59, "energy_ev_per_cell": -20.0, "formation_enthalpy_0k_ev_per_atom": 0.2484, "volume_a3_per_cell": 124, "sg": "F-43m", "lattice": [[0.000, 3.956, 3.956], [3.956, 0.000, 3.956], [3.956, 3.956, 0.000]], "species": ["Mg", "Zn", "As", "As", "As", "As"], "fractional_positions": [[0.750, 0.750, 0.750], [0.000, 0.000, 0.000], [0.877, 0.374, 0.374], [0.374, 0.374, 0.877], [0.374, 0.877, 0.374], [0.374, 0.374, 0.374]]}

---

Entry 2:
{"formula": "SmMgScZn", "functional": "PBE", "state": "optimized geometry", "dos_at_fermi_per_ev_fu": 4.50, "energy_ev_per_cell": -14.6, "de_polymorph_ev_per_fu": 0.138, "formation_enthalpy_0k_ev_per_atom": -0.1629, "volume_a3_per_cell": 94, "sg": "F-43m", "lattice": [[5.098, 0.000, 0.000], [2.549, 4.415, 0.000], [2.549, 1.472, 4.163]], "species": ["Sc", "Zn", "Mg", "Sm"], "fractional_positions": [[0.250, 0.250, 0.250], [0.000, 0.000, 0.000], [0.500, 0.500, 0.500], [0.750, 0.750, 0.750]]}

---

Entry 3:
{"formula": "Tb3Pr2Ir2", "functional": "PBE", "state": "optimized geometry", "dos_at_fermi_per_ev_fu": 7.52, "energy_ev_per_cell": -45.1, "formation_enthalpy_0k_ev_per_atom": -0.5634, "volume_a3_per_cell": 194, "sg": "C2/m", "lattice": [[3.858, 0.000, 0.000], [-1.929, 6.176, -0.490], [0.000, -3.471, 8.436]], "species": ["Tb", "Tb", "Tb", "Pr", "Pr", "Ir", "Ir"], "fractional_positions": [[0.500, 0.000, 0.000], [0.620, 0.240, 0.430], [0.380, 0.760, 0.570], [0.834, 0.668, 0.194], [0.166, 0.332, 0.806], [0.828, 0.656, 0.758], [0.172, 0.344, 0.242]]}

---

Entry 4:
{"formula": "LiPmGe2Pt4", "functional": "PBE", "state": "optimized geometry", "dos_at_fermi_per_ev_fu": 3.33, "energy_ev_per_cell": -46.1, "formation_enthalpy_0k_ev_per_atom": -0.7532, "volume_a3_per_cell": 137, "sg": "R-3m", "lattice": [[-0.607, -0.187, -4.233], [2.853, -2.000, -2.485], [-3.612, -8.133, -1.287]], "species": ["Li", "Pm", "Ge", "Ge", "Pt", "Pt", "Pt", "Pt"], "fractional_positions": [[0.500, 0.500, 0.500], [0.000, 0.000, 0.000], [0.760, 0.760, 0.719], [0.240, 0.240, 0.281], [0.405, 0.405, 0.785], [0.864, 0.864, 0.409], [0.136, 0.136, 0.591], [0.595, 0.595, 0.215]]}